No. 1
The following is a GGA-PBE calculation of Cs2NiCl4 after structural relaxation, from Alexandria via LeMat-Bulk.

Calculated values
final energy = -3.516 eV per atom
distance to the lowest polymorph of the same formula = 0.5 meV/atom
formation energy from raw total energies = -1.391 eV per atom
Fermi-level density of states = 5.3 states/eV/cell
calculated density = 3.225 g cm⁻³
total magnetic moment = 2.000 μB/f.u.

a = 9.9423 Å, b = 7.4262 Å, c = 13.0069 Å
α = 90.00°, β = 90.00°, γ = 90.00°
Closest atoms and distances in Å follow each position.
Space group Pnma (No. 62)
Unique sites:
Cs (0.0069, 0.2500, 0.1752)  9 Cl 3.55-3.81, 1 Ni 3.91
Cs (0.1254, 0.7500, 0.3995)  11 Cl 3.71-4.15, 1 Ni 4.05
Ni (0.2198, 0.7500, 0.0706)  4 Cl 2.24-2.26
Cl (0.0011, 0.2500, 0.8915)  1 Ni 2.25
Cl (0.1685, 0.2500, 0.4190)  1 Ni 2.26
Cl (0.1941, 0.0060, 0.6477)  1 Ni 2.24

=====

No. 2
The following is a GGA-PBE calculation of BeAl2Se after structural relaxation, from Alexandria via LeMat-Bulk.

Calculated values
final energy = -3.331 eV per atom
distance to the lowest polymorph of the same formula = 296.5 meV/atom
formation energy from raw total energies = 0.343 eV per atom
Fermi-level density of states = 3.3 states/eV/cell
calculated density = 3.453 g cm⁻³
total magnetic moment = 0.000 μB/f.u.

a = 3.7175 Å, b = 3.7175 Å, c = 9.8791 Å
α = 90.00°, β = 90.00°, γ = 90.00°
Closest atoms and distances in Å follow each position.
Space group I-4m2 (No. 119)
Unique sites:
Be (0.0000, 0.0000, 0.0000)  4 Al 2.63
Al (0.0000, 0.0000, 0.5000)  4 Be 2.63
Al (0.0000, 0.5000, 0.2500)  4 Se 2.63
Se (0.0000, 0.5000, 0.7500)  4 Al 2.63

=====

No. 3
The following is a GGA-PBE calculation of Pu2ZrNb after structural relaxation, from Alexandria via LeMat-Bulk.

Calculated values
final energy = -11.475 eV per atom
distance to the lowest polymorph of the same formula = 19.0 meV/atom
E_form = 345 meV/atom
Fermi-level density of states = 37.6 states/eV/cell
calculated density = 12.425 g cm⁻³
total magnetic moment = 11.232 μB/f.u.

a = 7.1092 Å, b = 7.1092 Å, c = 7.1092 Å
α = 90.00°, β = 90.00°, γ = 90.00°
Closest atoms and distances in Å follow each position.
Space group Fm-3m (No. 225)
Unique sites:
Pu (0.2500, 0.2500, 0.2500)  4 Zr 3.08, 4 Nb 3.08
Zr (0.0000, 0.0000, 0.0000)  8 Pu 3.08
Nb (0.0000, 0.0000, 0.5000)  8 Pu 3.08

=====

No. 4
The following is a GGA-PBE calculation of YTeSe after structural relaxation, from Alexandria via LeMat-Bulk.

Calculated values
final energy = -5.779 eV per atom
distance to the lowest polymorph of the same formula = 0.0 meV/atom
formation energy from raw total energies = -1.415 eV per atom
Fermi-level density of states = 1.4 states/eV/cell
calculated density = 5.797 g cm⁻³
total magnetic moment = 0.000 μB/f.u.

a = 4.2243 Å, b = 5.7669 Å, c = 13.8967 Å
α = 90.00°, β = 90.00°, γ = 90.00°
Closest atoms and distances in Å follow each position.
Space group Immm (No. 71)
Unique sites:
Y (0.0000, 0.0000, 0.1545)  4 Se 2.81-2.99
Te (0.0000, 0.2478, 0.5000)  2 Te 2.86-2.91
Se (0.0000, 0.5000, 0.2117)  4 Y 2.81-2.99